Arrangement i

First-principles (meta-GGA SCAN) data for CuAu2 at its PBEsol-relaxed geometry, as listed in the Alexandria database.

Lattice parameters (Å, degrees): 4.4349 4.4349 5.3925 90.00 90.00 120.00
Element x y z (fractional)
Cu  0.3333  0.6667  0.2500
Cu  0.6667  0.3333  0.7500
Au  0.0000  0.0000  0.0000
Au  0.0000  0.0000  0.5000
Au  0.3333  0.6667  0.7500
Au  0.6667  0.3333  0.2500

Computed properties:
**Crystal system**: hexagonal


Arrangement ii

First-principles (meta-GGA SCAN) data for CuAu2 at its PBEsol-relaxed geometry, as listed in the Alexandria database.

Lattice parameters (Å, degrees): 4.9944 4.9944 4.9944 103.44 103.44 122.35
Element x y z (fractional)
Cu  0.2500  0.2500  0.0000
Cu  0.7500  0.7500  0.0000
Au  0.1574  0.6574  0.8148
Au  0.3426  0.1574  0.5000
Au  0.6574  0.8426  0.5000
Au  0.8426  0.3426  0.1852

Computed properties:
**Crystal system**: tetragonal


Arrangement iii

First-principles (meta-GGA SCAN) data for CuAu2 at its PBEsol-relaxed geometry, as listed in the Alexandria database.

Lattice parameters (Å, degrees): 5.1781 5.1781 5.1781 148.42 140.96 51.05
Element x y z (fractional)
Cu  0.0000  0.0000  0.0000
Au  0.3452  0.3452  0.0000
Au  0.6548  0.6548  0.0000

Computed properties:
**Crystal system**: orthorhombic


Name the least stable of them. arrangement ii.


Arrangement i

First-principles (meta-GGA SCAN) data for CuAu2 at its PBEsol-relaxed geometry, as listed in the Alexandria database.

Lattice parameters (Å, degrees): 7.4929 7.4929 2.8118 90.00 90.00 120.00
Element x y z (fractional)
Cu  0.0000  0.0000  0.0000
Cu  0.3333  0.6667  0.5000
Cu  0.6667  0.3333  0.5000
Au  0.0000  0.3695  0.0000
Au  0.0000  0.7029  0.5000
Au  0.2971  0.2971  0.5000
Au  0.3695  0.0000  0.0000
Au  0.6305  0.6305  0.0000
Au  0.7029  0.0000  0.5000

Computed properties:
**Crystal system**: hexagonal


Arrangement ii

First-principles (meta-GGA SCAN) data for CuAu2 at its PBEsol-relaxed geometry, as listed in the Alexandria database.

Lattice parameters (Å, degrees): 4.3665 4.3665 2.7851 90.00 90.00 120.00
Element x y z (fractional)
Cu  0.0000  0.0000  0.0000
Au  0.3333  0.6667  0.7164
Au  0.6667  0.3333  0.2836

Computed properties:
**Crystal system**: trigonal


Name the least stable of them. arrangement ii.


Arrangement i

First-principles (meta-GGA SCAN) data for CuAu2 at its PBEsol-relaxed geometry, as listed in the Alexandria database.

Lattice parameters (Å, degrees): 12.3630 12.3630 12.3630 167.13 167.13 18.24
Element x y z (fractional)
Cu  0.3750  0.6250  0.7500
Cu  0.6250  0.3750  0.2500
Au  0.0506  0.8006  0.2500
Au  0.1994  0.9494  0.2500
Au  0.8006  0.0506  0.7500
Au  0.9494  0.1994  0.7500

Computed properties:
**Crystal system**: tetragonal


Arrangement ii

First-principles (meta-GGA SCAN) data for CuAu2 at its PBEsol-relaxed geometry, as listed in the Alexandria database.

Lattice parameters (Å, degrees): 5.9271 5.9271 5.9271 152.50 151.78 39.81
Element x y z (fractional)
Cu  0.0000  0.0000  0.0000
Au  0.3445  0.3445  0.0000
Au  0.6555  0.6555  0.0000

Computed properties:
**Crystal system**: orthorhombic


Arrangement iii

First-principles (meta-GGA SCAN) data for CuAu2 at its PBEsol-relaxed geometry, as listed in the Alexandria database.

Lattice parameters (Å, degrees): 7.1578 7.1578 4.6334 90.00 90.00 157.30
Element x y z (fractional)
Cu  0.1062  0.8938  0.7500
Cu  0.8938  0.1062  0.2500
Au  0.2308  0.7692  0.2500
Au  0.4438  0.5562  0.7500
Au  0.5562  0.4438  0.2500
Au  0.7692  0.2308  0.7500

Computed properties:
**Crystal system**: orthorhombic


Name the least stable of them. arrangement iii.


Arrangement i

First-principles (meta-GGA SCAN) data for CuAu2 at its PBEsol-relaxed geometry, as listed in the Alexandria database.

Lattice parameters (Å, degrees): 4.9165 4.9165 7.4567 112.78 112.78 33.37
Element x y z (fractional)
Cu  0.1853  0.1853  0.0878
Cu  0.8147  0.8147  0.9122
Au  0.1641  0.1641  0.5898
Au  0.4990  0.4990  0.7864
Au  0.5010  0.5010  0.2136
Au  0.8359  0.8359  0.4102

Computed properties:
**Crystal system**: monoclinic


Arrangement ii

First-principles (meta-GGA SCAN) data for CuAu2 at its PBEsol-relaxed geometry, as listed in the Alexandria database.

Lattice parameters (Å, degrees): 8.0565 8.0565 8.0565 60.00 60.00 60.00
Element x y z (fractional)
Cu  0.1399  0.7867  0.7867
Cu  0.2133  0.2133  0.2133
Cu  0.2133  0.2133  0.8601
Cu  0.2133  0.8601  0.2133
Cu  0.7867  0.1399  0.7867
Cu  0.7867  0.7867  0.1399
Cu  0.7867  0.7867  0.7867
Cu  0.8601  0.2133  0.2133
Au  0.0000  0.0000  0.0000
Au  0.0000  0.0000  0.5000
Au  0.0000  0.5000  0.0000
Au  0.1894  0.1894  0.5606
Au  0.1894  0.5606  0.1894
Au  0.1894  0.5606  0.5606
Au  0.4394  0.4394  0.8106
Au  0.4394  0.8106  0.4394
Au  0.4394  0.8106  0.8106
Au  0.5000  0.0000  0.0000
Au  0.5606  0.1894  0.1894
Au  0.5606  0.1894  0.5606
Au  0.5606  0.5606  0.1894
Au  0.8106  0.4394  0.4394
Au  0.8106  0.4394  0.8106
Au  0.8106  0.8106  0.4394

Computed properties:
**Crystal system**: cubic


Name the least stable of them. arrangement ii.


Arrangement i

First-principles (meta-GGA SCAN) data for CuAu2 at its PBEsol-relaxed geometry, as listed in the Alexandria database.

Lattice parameters (Å, degrees): 5.5446 3.9748 8.2741 90.00 90.00 90.00
Element x y z (fractional)
Cu  0.1412  0.2500  0.0872
Cu  0.3588  0.7500  0.5872
Cu  0.6412  0.2500  0.4128
Cu  0.8588  0.7500  0.9128
Au  0.0946  0.2500  0.7654
Au  0.1436  0.2500  0.4236
Au  0.3564  0.7500  0.9236
Au  0.4054  0.7500  0.2654
Au  0.5946  0.2500  0.7346
Au  0.6436  0.2500  0.0764
Au  0.8564  0.7500  0.5764
Au  0.9054  0.7500  0.2346

Computed properties:
**Crystal system**: orthorhombic


Arrangement ii

First-principles (meta-GGA SCAN) data for CuAu2 at its PBEsol-relaxed geometry, as listed in the Alexandria database.

Lattice parameters (Å, degrees): 5.3455 5.3455 6.5747 104.66 104.66 30.50
Element x y z (fractional)
Cu  0.0000  0.0000  0.0000
Cu  0.6680  0.6680  0.3180
Au  0.2823  0.2823  0.0680
Au  0.3275  0.3275  0.6508
Au  0.6086  0.6086  0.7399
Au  0.9648  0.9648  0.3825

Computed properties:
**Crystal system**: monoclinic


Name the least stable of them. arrangement ii.


Arrangement i

First-principles (meta-GGA SCAN) data for Cu4Au at its PBEsol-relaxed geometry, as listed in the Alexandria database.

Lattice parameters (Å, degrees): 10.4996 10.4996 10.4996 14.57 14.57 14.57
Element x y z (fractional)
Cu  0.0944  0.0944  0.0944
Cu  0.3017  0.3017  0.3017
Cu  0.6983  0.6983  0.6983
Cu  0.9056  0.9056  0.9056
Au  0.5000  0.5000  0.5000

Computed properties:
**Crystal system**: trigonal


Arrangement ii

First-principles (meta-GGA SCAN) data for Cu4Au at its PBEsol-relaxed geometry, as listed in the Alexandria database.

Lattice parameters (Å, degrees): 8.6844 8.6844 8.6844 162.01 162.01 25.55
Element x y z (fractional)
Cu  0.1119  0.1119  0.0000
Cu  0.2956  0.2956  0.0000
Cu  0.7044  0.7044  0.0000
Cu  0.8881  0.8881  0.0000
Au  0.5000  0.5000  0.0000

Computed properties:
**Crystal system**: tetragonal


Arrangement iii

First-principles (meta-GGA SCAN) data for Cu4Au at its PBEsol-relaxed geometry, as listed in the Alexandria database.

Lattice parameters (Å, degrees): 4.5184 4.5184 4.5184 99.44 99.44 132.22
Element x y z (fractional)
Cu  0.0954  0.6936  0.7889
Cu  0.3064  0.0954  0.4018
Cu  0.6936  0.9046  0.5982
Cu  0.9046  0.3064  0.2111
Au  0.5000  0.5000  0.0000

Computed properties:
**Crystal system**: tetragonal


Name the least stable of them. arrangement i.


Arrangement i

First-principles (meta-GGA SCAN) data for Cu4Au at its PBEsol-relaxed geometry, as listed in the Alexandria database.

Lattice parameters (Å, degrees): 4.5024 4.5024 6.3843 119.20 119.20 34.30
Element x y z (fractional)
Cu  0.1044  0.1044  0.4129
Cu  0.3092  0.3092  0.2128
Cu  0.6908  0.6908  0.7872
Cu  0.8956  0.8956  0.5871
Au  0.5000  0.5000  0.0000

Computed properties:
**Crystal system**: monoclinic


Arrangement ii

First-principles (meta-GGA SCAN) data for Cu4Au at its PBEsol-relaxed geometry, as listed in the Alexandria database.

Lattice parameters (Å, degrees): 7.0179 7.0179 7.0179 158.17 150.85 36.71
Element x y z (fractional)
Cu  0.1109  0.1109  0.0000
Cu  0.2970  0.2970  0.0000
Cu  0.7030  0.7030  0.0000
Cu  0.8891  0.8891  0.0000
Au  0.5000  0.5000  0.0000

Computed properties:
**Crystal system**: orthorhombic


Name the least stable of them. arrangement i.


Arrangement i

First-principles (meta-GGA SCAN) data for CuAu4 at its PBEsol-relaxed geometry, as listed in the Alexandria database.

Lattice parameters (Å, degrees): 5.0985 5.0985 7.0786 124.47 124.47 32.40
Element x y z (fractional)
Cu  0.0000  0.0000  0.0000
Au  0.2168  0.2168  0.8052
Au  0.4109  0.4109  0.6226
Au  0.5891  0.5891  0.3774
Au  0.7832  0.7832  0.1948

Computed properties:
**Crystal system**: monoclinic


Arrangement ii

First-principles (meta-GGA SCAN) data for CuAu4 at its PBEsol-relaxed geometry, as listed in the Alexandria database.

Lattice parameters (Å, degrees): 8.4970 8.4970 8.4970 160.70 156.80 30.35
Element x y z (fractional)
Cu  0.0000  0.0000  0.0000
Au  0.1965  0.1965  0.0000
Au  0.4115  0.4115  0.0000
Au  0.5885  0.5885  0.0000
Au  0.8035  0.8035  0.0000

Computed properties:
**Crystal system**: orthorhombic


Arrangement iii

First-principles (meta-GGA SCAN) data for CuAu4 at its PBEsol-relaxed geometry, as listed in the Alexandria database.

Lattice parameters (Å, degrees): 11.4304 11.4304 11.4304 14.37 14.37 14.37
Element x y z (fractional)
Cu  0.0000  0.0000  0.0000
Au  0.2018  0.2018  0.2018
Au  0.3940  0.3940  0.3940
Au  0.6060  0.6060  0.6060
Au  0.7982  0.7982  0.7982

Computed properties:
**Crystal system**: trigonal


Name the least stable of them. arrangement iii.


Arrangement i

First-principles (meta-GGA SCAN) data for CuAu4 at its PBEsol-relaxed geometry, as listed in the Alexandria database.

Lattice parameters (Å, degrees): 4.9205 4.9205 4.9205 99.15 99.15 133.01
Element x y z (fractional)
Cu  0.0000  0.0000  0.0000
Au  0.2055  0.6002  0.8057
Au  0.3998  0.2055  0.6053
Au  0.6002  0.7945  0.3947
Au  0.7945  0.3998  0.1943

Computed properties:
**Crystal system**: tetragonal


Arrangement ii

First-principles (meta-GGA SCAN) data for CuAu4 at its PBEsol-relaxed geometry, as listed in the Alexandria database.

Lattice parameters (Å, degrees): 9.9952 9.9952 9.9952 163.63 163.63 23.23
Element x y z (fractional)
Cu  0.0000  0.0000  0.0000
Au  0.1967  0.1967  0.0000
Au  0.4108  0.4108  0.0000
Au  0.5892  0.5892  0.0000
Au  0.8033  0.8033  0.0000

Computed properties:
**Crystal system**: tetragonal


Name the least stable of them. arrangement i.


Arrangement i

First-principles (meta-GGA SCAN) data for Cu5Au4 at its PBEsol-relaxed geometry, as listed in the Alexandria database.

Lattice parameters (Å, degrees): 7.5160 7.5160 5.2190 90.00 90.00 120.00
Element x y z (fractional)
Cu  0.0000  0.3171  0.2500
Cu  0.0000  0.6829  0.7500
Cu  0.3171  0.0000  0.2500
Cu  0.3171  0.3171  0.7500
Cu  0.3333  0.6667  0.0000
Cu  0.3333  0.6667  0.5000
Cu  0.6667  0.3333  0.0000
Cu  0.6667  0.3333  0.5000
Cu  0.6829  0.0000  0.7500
Cu  0.6829  0.6829  0.2500
Au  0.0000  0.0000  0.0000
Au  0.0000  0.0000  0.5000
Au  0.0000  0.3565  0.7500
Au  0.0000  0.6435  0.2500
Au  0.3565  0.0000  0.7500
Au  0.3565  0.3565  0.2500
Au  0.6435  0.0000  0.2500
Au  0.6435  0.6435  0.7500

Computed properties:
**Crystal system**: hexagonal


Arrangement ii

First-principles (meta-GGA SCAN) data for Cu5Au4 at its PBEsol-relaxed geometry, as listed in the Alexandria database.

Lattice parameters (Å, degrees): 6.0329 6.0329 6.0329 95.76 95.76 143.07
Element x y z (fractional)
Cu  0.0000  0.0000  0.0000
Cu  0.3385  0.3385  0.6770
Cu  0.3385  0.6615  0.0000
Cu  0.6615  0.3385  0.0000
Cu  0.6615  0.6615  0.3230
Au  0.0000  0.3173  0.3173
Au  0.0000  0.6827  0.6827
Au  0.3173  0.0000  0.3173
Au  0.6827  0.0000  0.6827

Computed properties:
**Crystal system**: tetragonal


Name the least stable of them. arrangement i.


Arrangement i

First-principles (meta-GGA SCAN) data for CuHg2Au at its PBEsol-relaxed geometry, as listed in the Alexandria database.

Lattice parameters (Å, degrees): 4.6402 4.6402 4.6402 60.00 60.00 60.00
Element x y z (fractional)
Cu  0.0000  0.0000  0.0000
Hg  0.2500  0.2500  0.2500
Hg  0.5000  0.5000  0.5000
Au  0.7500  0.7500  0.7500

Computed properties:
**Crystal system**: cubic


Arrangement ii

First-principles (meta-GGA SCAN) data for CuHg2Au at its PBEsol-relaxed geometry, as listed in the Alexandria database.

Lattice parameters (Å, degrees): 3.9252 4.2231 4.2383 90.00 90.00 90.00
Element x y z (fractional)
Cu  0.0000  0.0000  0.0000
Hg  0.5000  0.0000  0.5000
Hg  0.5000  0.5000  0.0000
Au  0.0000  0.5000  0.5000

Computed properties:
**Crystal system**: orthorhombic


Name the least stable of them. arrangement i.